Entry 1:
Ac2Cd5Ag3 | PBE | optimized geometry

Geometry as CIF:
```
data_Ac2Cd5Ag3
_symmetry_space_group_name_H-M 'P 1'
_symmetry_Int_Tables_number 1
_cell_length_a 13.790
_cell_length_b 13.790
_cell_length_c 7.588
_cell_angle_alpha 90.00
_cell_angle_beta 90.00
_cell_angle_gamma 159.27
loop_
_symmetry_equiv_pos_as_xyz
'x,y,z'
loop_
_atom_site_label
_atom_site_type_symbol
_atom_site_fract_x
_atom_site_fract_y
_atom_site_fract_z
Ac1 Ac 0.017 0.983 0.500
Ac2 Ac 0.326 0.674 0.457
Ac3 Ac 0.674 0.326 0.957
Ac4 Ac 0.983 0.017 0.000
Cd1 Cd 0.106 0.894 0.173
Cd2 Cd 0.203 0.797 0.635
Cd3 Cd 0.211 0.789 0.250
Cd4 Cd 0.374 0.626 0.992
Cd5 Cd 0.447 0.553 0.306
Cd6 Cd 0.553 0.447 0.806
Cd7 Cd 0.626 0.374 0.492
Cd8 Cd 0.789 0.211 0.750
Cd9 Cd 0.797 0.203 0.135
Cd10 Cd 0.894 0.106 0.673
Ag1 Ag 0.107 0.893 0.780
Ag2 Ag 0.269 0.731 0.937
Ag3 Ag 0.448 0.552 0.705
Ag4 Ag 0.552 0.448 0.205
Ag5 Ag 0.731 0.269 0.437
Ag6 Ag 0.893 0.107 0.280
```

Values from the calculation:
E_form = -243.7 meV/atom
theoretical density = 8.71 g/cm³
D(E_F) = 0.692 states/eV/atom
energy above the most stable polymorph in this dataset = 0.0 meV/atom
SG = Cmc2_1 (36)
E_tot = -47.6 eV per cell

Entry 2:
AcCd6Ag2 | PBE | optimized geometry

Geometry as CIF:
```
data_AcCd6Ag2
_symmetry_space_group_name_H-M 'P 1'
_symmetry_Int_Tables_number 1
_cell_length_a 4.604
_cell_length_b 4.604
_cell_length_c 10.249
_cell_angle_alpha 90.00
_cell_angle_beta 90.00
_cell_angle_gamma 90.00
loop_
_symmetry_equiv_pos_as_xyz
'x,y,z'
loop_
_atom_site_label
_atom_site_type_symbol
_atom_site_fract_x
_atom_site_fract_y
_atom_site_fract_z
Ac1 Ac 0.000 0.000 0.000
Cd1 Cd 0.000 0.000 0.500
Cd2 Cd 0.000 0.500 0.294
Cd3 Cd 0.000 0.500 0.706
Cd4 Cd 0.500 0.000 0.294
Cd5 Cd 0.500 0.000 0.706
Cd6 Cd 0.500 0.500 0.500
Ag1 Ag 0.500 0.500 0.132
Ag2 Ag 0.500 0.500 0.868
```

Values from the calculation:
E_form = -164.3 meV/atom
theoretical density = 8.54 g/cm³
D(E_F) = 0.518 states/eV/atom
energy above the most stable polymorph in this dataset = 0.0 meV/atom
SG = P4/mmm (123)
E_tot = -16.8 eV per cell

Entry 3:
AcCd2Ag | PBE | optimized geometry

Geometry as CIF:
```
data_AcCd2Ag
_symmetry_space_group_name_H-M 'P 1'
_symmetry_Int_Tables_number 1
_cell_length_a 5.976
_cell_length_b 5.976
_cell_length_c 8.038
_cell_angle_alpha 90.00
_cell_angle_beta 90.00
_cell_angle_gamma 132.59
loop_
_symmetry_equiv_pos_as_xyz
'x,y,z'
loop_
_atom_site_label
_atom_site_type_symbol
_atom_site_fract_x
_atom_site_fract_y
_atom_site_fract_z
Ac1 Ac 0.074 0.926 0.750
Ac2 Ac 0.926 0.074 0.250
Cd1 Cd 0.363 0.637 0.558
Cd2 Cd 0.363 0.637 0.942
Cd3 Cd 0.637 0.363 0.058
Cd4 Cd 0.637 0.363 0.442
Ag1 Ag 0.218 0.782 0.250
Ag2 Ag 0.782 0.218 0.750
```

Values from the calculation:
E_form = -309.1 meV/atom
theoretical density = 8.80 g/cm³
D(E_F) = 0.450 states/eV/atom
SG = Cmcm (63)
E_tot = -20.1 eV per cell